Entry from Alexandria via LeMat-Bulk: a geometry-optimized Ce2PrScAs4 structure (PBE).

```
Ce2PrScAs4
1.0
7.193 0.000 0.000
0.000 4.171 0.000
-2.412 0.000 6.802
Ce Pr Sc As
2 1 1 4
Direct
0.000 0.000 0.000
0.000 0.500 0.500
0.500 0.000 0.500
0.500 0.500 0.000
0.251 0.500 0.238
0.260 0.000 0.766
0.740 0.000 0.234
0.749 0.500 0.762
```

Final energy = -52.75 eV/cell